# Zr2ZnP, relaxed, DFT PBE-GGA
data_Zr2ZnP
_chemical_formula_sum 'Zr4 Zn2 P2'
_space_group_name_H-M_alt 'P 1'
_space_group_IT_number 1
_cell_length_a 7.220
_cell_length_b 7.220
_cell_length_c 5.909
_cell_angle_alpha 52.34
_cell_angle_beta 52.34
_cell_angle_gamma 90.00
loop_
_space_group_symop_operation_xyz
'x,y,z'
loop_
_atom_site_label
_atom_site_fract_x
_atom_site_fract_y
_atom_site_fract_z
P1 0.500 0.500 0.000
P2 0.250 0.750 0.500
Zn1 0.000 0.000 0.000
Zn2 0.750 0.250 0.500
Zr1 0.608 0.125 0.250
Zr2 0.142 0.625 0.250
Zr3 0.375 0.392 0.750
Zr4 0.875 0.858 0.750
# Crystal system ... tetragonal
# ΔH_f (0 K) ... -0.461 eV per atom
# Total energy ... -6.4056 eV per atom